Record 1
! CoCl, optimized geometry, DFT PBE-GGA; values from VASP
! total magnetic moment	1.00	μB per atom
! space-group type	No. 59
! formation energy without anion corrections	0.0451	eV/atom
&SYSTEM
  ibrav = 0, nat = 4, ntyp = 2
/
ATOMIC_SPECIES
Co 58.93 Co.upf
Cl 35.45 Cl.upf
ATOMIC_POSITIONS angstrom
Co 0.816 0.820 0.493
Co 2.448 2.459 6.495
Cl 0.816 0.820 5.230
Cl 2.448 2.459 1.758
CELL_PARAMETERS angstrom
3.265 0.000 0.000
0.000 3.279 0.000
0.000 0.000 6.988


Record 2
! FeSBr3, optimized geometry, DFT PBE-GGA; values from VASP
! total magnetic moment	0.80	μB per atom
! space-group type	No. 221
! formation energy without anion corrections	0.7504	eV/atom
! energy relative to the lowest polymorph listed for this composition	390	meV per atom
&SYSTEM
  ibrav = 0, nat = 5, ntyp = 3
/
ATOMIC_SPECIES
Fe 55.84 Fe.upf
S 32.06 S.upf
Br 79.90 Br.upf
ATOMIC_POSITIONS angstrom
Fe 0.000 0.000 0.000
S 2.585 2.585 2.585
Br 0.000 2.585 2.585
Br 2.585 0.000 2.585
Br 2.585 2.585 0.000
CELL_PARAMETERS angstrom
5.170 0.000 0.000
0.000 5.170 0.000
0.000 0.000 5.170


Record 3
! Pa2SiIr, optimized geometry, DFT PBE-GGA; values from VASP
! total magnetic moment	0.00	μB per atom
! space-group type	No. 123
! formation energy without anion corrections	-0.5744	eV/atom
! energy relative to the lowest polymorph listed for this composition	130	meV per atom
&SYSTEM
  ibrav = 0, nat = 4, ntyp = 3
/
ATOMIC_SPECIES
Pa 231.04 Pa.upf
Si 28.09 Si.upf
Ir 192.22 Ir.upf
ATOMIC_POSITIONS angstrom
Pa 0.000 0.000 1.459
Pa 0.000 0.000 4.494
Si 1.847 1.847 0.000
Ir 1.847 1.847 2.976
CELL_PARAMETERS angstrom
3.693 0.000 0.000
0.000 3.693 0.000
0.000 0.000 5.953


Record 4
! ThGaFe2Ge2, optimized geometry, DFT PBE-GGA; values from VASP
! raw total energy	-6.15	eV per atom
! total magnetic moment	0.47	μB per atom
! space-group type	No. 123
&SYSTEM
  ibrav = 0, nat = 6, ntyp = 4
/
ATOMIC_SPECIES
Th 232.04 Th.upf
Ga 69.72 Ga.upf
Fe 55.84 Fe.upf
Ge 72.64 Ge.upf
ATOMIC_POSITIONS angstrom
Th 0.000 0.000 0.000
Ga 0.000 0.000 2.816
Fe 0.000 2.191 2.816
Fe 2.191 0.000 2.816
Ge 2.191 2.191 1.375
Ge 2.191 2.191 4.256
CELL_PARAMETERS angstrom
4.383 0.000 0.000
0.000 4.383 0.000
0.000 0.000 5.632